(a)
Compound: KPd2Br
Source: Alexandria
Functional: PBE
Structure: relaxed

Calculated values
The value obtained for the volume is 30.89 Å³/atom.

abc: 5.463 5.463 9.139
angles: 72.61 72.61 90.00
Element x y z (fractional)
K  0.500  0.500  0.000
K  0.250  0.750  0.500
Pd  0.875  0.125  0.750
Pd  0.875  0.625  0.250
Pd  0.375  0.125  0.750
Pd  0.875  0.125  0.250
Br  0.750  0.250  0.500
Br  0.000  0.000  0.000

---

(b)
Compound: KPd2Br
Source: Alexandria
Functional: PBE
Structure: relaxed

Calculated values
The value obtained for the volume is 21.24 Å³/atom.

abc: 4.935 4.935 4.935
angles: 60.00 60.00 60.00
Element x y z (fractional)
Pd  0.250  0.250  0.250
Pd  0.750  0.750  0.750
K  0.000  0.000  0.000
Br  0.500  0.500  0.500

---

(a) is preferred energetically. Next in line: 0.354 eV/atom higher.